CaY6Er after structural relaxation. Source: Alexandria, functional PBE.

extended XYZ file:
```
8
Lattice="6.749 0.261 2.540 0.676 6.621 0.245 1.366 0.120 6.600" Properties=species:S:1:pos:R:3 pbc="T T T"
Ca 0.000 0.000 0.000
Y 1.642 4.888 3.320
Y 4.797 5.021 5.175
Y 3.995 1.982 4.210
Y 7.149 2.115 6.065
Y 5.831 5.156 8.273
Y 2.961 1.847 1.112
Er 0.338 3.311 0.123
```

Values from the calculation:
As for the space group: P-1 (2). The calculation puts the total magnetization at 0.000 Bohr magnetons per cell. As for the final energy: -5.447 eV per atom.

Sm3Er2TmSe6 after structural relaxation. Source: Alexandria, functional PBE.

extended XYZ file:
```
12
Lattice="-5.681 2.227 -3.532 3.294 -5.926 -1.935 -3.208 -2.354 6.017" Properties=species:S:1:pos:R:3 pbc="T T T"
Sm 0.184 -5.735 0.805
Sm -5.779 -0.318 -0.256
Sm -2.798 -3.026 0.275
Er 0.304 -3.210 -2.467
Er -2.691 -0.489 -3.000
Tm 0.000 0.000 0.000
Se -5.744 -3.240 0.201
Se -2.543 -3.320 -2.659
Se 0.148 -2.813 0.348
Se -2.766 -5.945 0.731
Se -3.053 -2.732 3.208
Se -2.830 -0.107 -0.182
```

Values from the calculation:
As for the space group: C2/m (12). The calculation puts the total magnetization at 0.000 Bohr magnetons per cell. The value obtained for the uncorrected formation energy is -1.76 eV/atom.

Tb4GePbC after structural relaxation. Source: Alexandria, functional PBE.

extended XYZ file:
```
14
Lattice="-6.626 -1.008 -0.976 1.088 -6.671 -0.496 2.282 -0.242 8.260" Properties=species:S:1:pos:R:3 pbc="T T T"
Tb -3.902 -2.794 5.878
Tb -0.026 -5.612 5.978
Tb 0.646 -5.126 0.911
Tb -3.230 -2.308 0.810
Tb -1.628 -3.960 3.394
Tb 1.141 -0.121 4.130
Tb -2.172 -0.625 3.642
Tb 1.685 -3.456 3.882
Ge 0.035 -1.839 1.663
Ge -3.291 -6.081 5.125
Pb -2.717 -5.666 0.801
Pb -0.539 -2.254 5.987
C 0.305 -5.373 3.482
C -3.561 -2.548 3.306
```

Values from the calculation:
As for the space group: Cmcm (63). The calculation puts the total magnetization at 0.000 Bohr magnetons per cell. As for the final energy: -5.715 eV per atom.

RbPt2IN after structural relaxation. Source: Alexandria, functional PBE.

extended XYZ file:
```
5
Lattice="-1.176 -4.855 -0.300 5.040 -1.531 5.034 -3.417 0.605 3.605" Properties=species:S:1:pos:R:3 pbc="T T T"
I 0.000 0.000 0.000
Rb 2.520 -0.766 2.517
Pt -1.709 0.302 1.803
Pt -0.588 -2.428 -0.150
N 0.224 -2.891 4.170
```

Values from the calculation:
As for the space group: P4/mmm (123). The calculation puts the total magnetization at 0.657 Bohr magnetons per cell. The value obtained for the uncorrected formation energy is 1.49 eV/atom.

KNiBr2 after structural relaxation. Source: Alexandria, functional PBE.

extended XYZ file:
```
4
Lattice="2.296 0.000 8.897 -1.148 1.989 8.897 -1.148 -1.989 8.897" Properties=species:S:1:pos:R:3 pbc="T T T"
Ni 0.000 0.000 13.346
K 0.000 0.000 0.000
Br 0.000 0.000 23.584
Br 0.000 0.000 3.108
```

Values from the calculation:
As for the space group: R-3m (166). The calculation puts the total magnetization at 1.236 Bohr magnetons per cell. The value obtained for the uncorrected formation energy is -0.40 eV/atom.

LiSeCl2 after structural relaxation. Source: Alexandria, functional PBE.

extended XYZ file:
```
4
Lattice="-0.704 0.919 -3.073 -3.172 -5.827 -1.015 -4.096 1.964 1.526" Properties=species:S:1:pos:R:3 pbc="T T T"
Cl -0.566 0.271 0.211
Cl -2.509 -2.181 -1.832
Li -2.613 1.253 0.973
Se -4.334 -1.306 -1.152
```

Values from the calculation:
As for the space group: Pmm2 (25). The calculation puts the total magnetization at 0.001 Bohr magnetons per cell. The value obtained for the uncorrected formation energy is -0.52 eV/atom.

Pm4AlNi3 after structural relaxation. Source: Alexandria, functional PBE.

extended XYZ file:
```
8
Lattice="-0.137 -2.816 2.674 -2.486 -2.412 -2.668 8.849 -4.445 -4.227" Properties=species:S:1:pos:R:3 pbc="T T T"
Pm 1.980 -4.268 -1.569
Pm 6.222 -4.956 -4.900
Pm 1.312 -0.659 -0.627
Pm 5.542 -4.227 -1.343
Al -0.770 -2.886 -0.256
Ni 3.806 -3.742 -3.745
Ni 3.879 -1.949 -1.853
Ni 8.177 -5.550 -2.601
```

Values from the calculation:
As for the space group: Pmm2 (25). The calculation puts the total magnetization at 0.000 Bohr magnetons per cell. As for the final energy: -5.338 eV per atom.

Tl2SbMo after structural relaxation. Source: Alexandria, functional PBE.

extended XYZ file:
```
4
Lattice="5.538 0.015 0.000 1.613 5.298 0.000 -3.575 -2.656 3.291" Properties=species:S:1:pos:R:3 pbc="T T T"
Mo 3.575 2.656 0.000
Sb 2.769 0.007 1.646
Tl 0.000 0.000 0.000
Tl 0.806 2.649 1.646
```

Values from the calculation:
As for the space group: I-4m2 (119). The calculation puts the total magnetization at 2.493 Bohr magnetons per cell. The value obtained for the uncorrected formation energy is 0.71 eV/atom.

CaAcMgGe after structural relaxation. Source: Alexandria, functional PBE.

extended XYZ file:
```
4
Lattice="5.489 0.000 0.000 2.745 4.754 0.000 2.745 1.585 4.482" Properties=species:S:1:pos:R:3 pbc="T T T"
Mg 5.489 3.169 2.241
Ac 8.234 4.754 3.361
Ca 2.745 1.585 1.120
Ge 0.000 0.000 0.000
```

Values from the calculation:
As for the space group: F-43m (216). The calculation puts the total magnetization at 0.000 Bohr magnetons per cell. As for the final energy: -3.381 eV per atom.

Ac4Sb8Pd3 after structural relaxation. Source: Alexandria, functional PBE.

extended XYZ file:
```
15
Lattice="-3.235 1.567 2.906 0.673 -3.669 2.729 14.475 10.450 10.481" Properties=species:S:1:pos:R:3 pbc="T T T"
Ac 3.801 4.695 5.376
Ac 11.151 10.001 10.698
Ac 2.044 -0.602 2.600
Ac 9.393 4.703 7.922
Sb -0.700 1.446 2.117
Sb 6.615 6.727 7.414
Sb 6.579 2.672 5.884
Sb 13.894 7.952 11.181
Sb 2.303 1.536 5.412
Sb 9.611 6.812 10.703
Sb 3.575 2.581 2.589
Sb 10.900 7.869 7.892
Pd 5.957 4.174 8.058
Pd 0.000 0.000 0.000
Pd 7.238 5.225 5.241
```

Values from the calculation:
As for the space group: P-4m2 (115). The calculation puts the total magnetization at 0.000 Bohr magnetons per cell. The value obtained for the uncorrected formation energy is -0.83 eV/atom.

Computed Fermi-level density of states (states/eV per cell) in order:
13.9 5.6 1.3 5.7 5.5 2.1 6.9 3.0 2.4 10.2